1.
{
  "formula": "Gd2DySc",
  "functional": "PBE",
  "state": "optimized geometry",
  "sg": "No. 123",
  "de_polymorph_mev_per_atom": 0,
  "formation_energy_kcal_per_mol_atoms": 1.1,
  "cell": [[4.893, 0.000, 0.000], [0.000, 4.946, 0.000], [0.000, 0.000, 4.946]],
  "species": ["Gd", "Gd", "Sc", "Dy"],
  "frac_coords": [[0.000, 0.000, 0.500], [0.000, 0.500, 0.000], [0.500, 0.500, 0.500], [0.500, 0.000, 0.000]]
}



2.
{
  "formula": "TcSeSCl2",
  "functional": "PBE",
  "state": "optimized geometry",
  "sg": "No. 123",
  "de_polymorph_mev_per_atom": 615,
  "cell": [[-3.787, -2.814, 1.664], [2.647, -1.145, 4.088], [-1.904, 3.943, 2.337]],
  "species": ["Tc", "S", "Cl", "Cl", "Se"],
  "frac_coords": [[0.500, 0.500, 0.500], [0.000, 0.000, 0.500], [0.000, 0.500, 0.000], [0.500, 0.000, 0.000], [0.000, 0.000, 0.000]]
}



3.
{
  "formula": "CeEr5",
  "functional": "PBE",
  "state": "optimized geometry",
  "sg": "No. 10",
  "de_polymorph_mev_per_atom": 0,
  "formation_energy_kcal_per_mol_atoms": 1.1,
  "cell": [[-2.441, -2.267, 1.097], [4.400, -1.223, 7.266], [-3.049, 4.548, 2.612]],
  "species": ["Er", "Er", "Er", "Er", "Er", "Ce"],
  "frac_coords": [[0.500, 0.335, 0.832], [0.000, 0.331, 0.337], [0.000, 0.669, 0.663], [0.000, 0.000, 0.000], [0.500, 0.665, 0.168], [0.500, 0.000, 0.500]]
}



4.
{
  "formula": "GaNi2C",
  "functional": "PBE",
  "state": "optimized geometry",
  "sg": "No. 122",
  "formation_energy_kcal_per_mol_atoms": 9.9,
  "cell": [[-3.964, 0.085, -2.984], [-2.865, -1.502, 3.763], [-4.173, 3.566, 1.518]],
  "species": ["Ni", "Ni", "Ni", "Ni", "Ga", "Ga", "C", "C"],
  "frac_coords": [[0.232, 0.625, 0.250], [0.518, 0.125, 0.250], [0.375, 0.482, 0.750], [0.875, 0.768, 0.750], [0.000, 0.000, 0.000], [0.750, 0.250, 0.500], [0.500, 0.500, 0.000], [0.250, 0.750, 0.500]]
}



5.
{
  "formula": "Ca2HgOs",
  "functional": "PBE",
  "state": "optimized geometry",
  "sg": "No. 12",
  "formation_energy_kcal_per_mol_atoms": 8.1,
  "cell": [[-0.274, 1.911, -4.000], [-1.001, -1.024, -4.205], [-7.700, 1.868, 0.536]],
  "species": ["Ca", "Ca", "Os", "Hg"],
  "frac_coords": [[0.005, 0.005, 0.961], [0.495, 0.495, 0.539], [0.750, 0.750, 0.750], [0.250, 0.250, 0.250]]
}



6.
{
  "formula": "Tm2In4Hg",
  "functional": "PBE",
  "state": "optimized geometry",
  "sg": "No. 69",
  "formation_energy_kcal_per_mol_atoms": -1.3,
  "cell": [[5.484, -0.010, -1.654], [-0.510, 5.461, -1.654], [-0.798, -0.874, 7.244]],
  "species": ["In", "In", "In", "In", "Tm", "Tm", "Hg"],
  "frac_coords": [[0.250, 0.750, 0.500], [0.500, 0.000, 0.000], [0.000, 0.500, 0.000], [0.750, 0.250, 0.500], [0.359, 0.359, 0.718], [0.641, 0.641, 0.282], [0.000, 0.000, 0.000]]
}



7.
{
  "formula": "Na6InHg10",
  "functional": "PBE",
  "state": "optimized geometry",
  "sg": "No. 162",
  "formation_energy_kcal_per_mol_atoms": -4.4,
  "cell": [[6.128, 0.000, 0.000], [0.000, 7.965, -4.599], [0.000, 0.000, 9.198]],
  "species": ["Hg", "Hg", "Hg", "Hg", "Hg", "Hg", "Hg", "Hg", "Hg", "Hg", "Na", "Na", "Na", "Na", "Na", "Na", "In"],
  "frac_coords": [[0.000, 0.333, 0.667], [0.812, 0.000, 0.264], [0.812, 0.736, 0.736], [0.188, 0.264, 0.264], [0.000, 0.667, 0.333], [0.500, 0.667, 0.333], [0.812, 0.264, 0.000], [0.188, 0.000, 0.736], [0.500, 0.333, 0.667], [0.188, 0.736, 0.000], [0.717, 0.000, 0.619], [0.717, 0.619, 0.000], [0.283, 0.619, 0.619], [0.283, 0.000, 0.381], [0.717, 0.381, 0.381], [0.283, 0.381, 0.000], [0.500, 0.000, 0.000]]
}



8.
{
  "formula": "Sr2HfFeSb",
  "functional": "PBE",
  "state": "optimized geometry",
  "sg": "No. 123",
  "energy_ev_per_cell": -22.52,
  "cell": [[5.663, 0.000, 0.000], [0.000, 4.800, 0.000], [0.000, 0.000, 5.663]],
  "species": ["Sr", "Sr", "Sb", "Hf", "Fe"],
  "frac_coords": [[0.500, 0.000, 0.000], [0.000, 0.000, 0.500], [0.000, 0.500, 0.000], [0.500, 0.500, 0.500], [0.000, 0.000, 0.000]]
}



9.
{
  "formula": "La2CuTeO",
  "functional": "PBE",
  "state": "optimized geometry",
  "sg": "No. 123",
  "energy_ev_per_cell": -27.07,
  "cell": [[4.919, 0.000, 0.000], [0.000, 5.014, 0.000], [0.000, 0.000, 4.919]],
  "species": ["La", "La", "Cu", "Te", "O"],
  "frac_coords": [[0.000, 0.000, 0.500], [0.500, 0.000, 0.000], [0.500, 0.500, 0.500], [0.000, 0.500, 0.000], [0.000, 0.000, 0.000]]
}



10.
{
  "formula": "Ho7ErTm4",
  "functional": "PBE",
  "state": "optimized geometry",
  "sg": "No. 2",
  "de_polymorph_mev_per_atom": 0,
  "formation_energy_kcal_per_mol_atoms": 2.1,
  "cell": [[6.556, 1.296, 0.601], [4.345, 7.115, 2.124], [-1.322, -0.530, 8.807]],
  "species": ["Tm", "Tm", "Tm", "Tm", "Ho", "Ho", "Ho", "Ho", "Ho", "Ho", "Ho", "Er"],
  "frac_coords": [[0.775, 0.839, 0.687], [0.447, 0.358, 0.714], [0.553, 0.642, 0.286], [0.225, 0.161, 0.313], [0.017, 0.686, 0.359], [0.500, 0.000, 0.000], [0.265, 0.486, 0.051], [0.297, 0.808, 0.613], [0.703, 0.192, 0.387], [0.983, 0.314, 0.641], [0.735, 0.514, 0.949], [0.000, 0.000, 0.000]]
}



11.
{
  "formula": "H2Pd2Pb",
  "functional": "PBE",
  "state": "optimized geometry",
  "sg": "No. 127",
  "de_polymorph_mev_per_atom": 319,
  "cell": [[5.607, 0.000, 0.000], [0.000, 5.607, 0.000], [0.000, 0.000, 4.344]],
  "species": ["Pb", "Pb", "Pd", "Pd", "Pd", "Pd", "H", "H", "H", "H"],
  "frac_coords": [[0.500, 0.500, 0.000], [0.000, 0.000, 0.000], [0.786, 0.286, 0.500], [0.286, 0.214, 0.500], [0.214, 0.714, 0.500], [0.714, 0.786, 0.500], [0.548, 0.048, 0.000], [0.048, 0.452, 0.000], [0.452, 0.952, 0.000], [0.952, 0.548, 0.000]]
}



12.
{
  "formula": "LaCdGePt2",
  "functional": "PBE",
  "state": "optimized geometry",
  "sg": "No. 8",
  "de_polymorph_mev_per_atom": 93,
  "formation_energy_kcal_per_mol_atoms": -15.7,
  "cell": [[5.703, 0.000, -0.008], [0.000, 3.938, 0.000], [-2.823, 0.000, 10.363]],
  "species": ["Pt", "Pt", "Pt", "Pt", "Cd", "Cd", "La", "La", "Ge", "Ge"],
  "frac_coords": [[0.943, 0.000, 0.518], [0.943, 0.500, 0.018], [0.345, 0.000, 0.731], [0.345, 0.500, 0.231], [0.312, 0.000, 0.029], [0.312, 0.500, 0.529], [0.958, 0.500, 0.743], [0.958, 0.000, 0.243], [0.685, 0.500, 0.425], [0.685, 0.000, 0.925]]
}